(1)
This record from Alexandria describes crystalline CsCdP3 at its relaxed geometry. The functional is PBE.

E_tot: -8.1 eV for the cell shown
Symmetry: Pm-3m

abc: 5.5029 5.5029 5.5029
angles: 90.00 90.00 90.00
Element x y z (fractional)
Cs1 0.0000 0.0000 0.0000
P1 0.0000 0.5000 0.0000
P2 0.0000 0.0000 0.5000
P3 0.5000 0.0000 0.0000
Cd1 0.5000 0.5000 0.5000

---

(2)
This record from Alexandria describes crystalline CsCd3P at its relaxed geometry. The functional is PBE.

E_tot: -8.2 eV for the cell shown
Symmetry: Pm-3m

abc: 5.5220 5.5220 5.5220
angles: 90.00 90.00 90.00
Element x y z (fractional)
Cs1 0.5000 0.5000 0.5000
P1 0.0000 0.0000 0.0000
Cd1 0.0000 0.5000 0.0000
Cd2 0.0000 0.0000 0.5000
Cd3 0.5000 0.0000 0.0000

---

(3)
This record from Alexandria describes crystalline Cs2CdPPd at its relaxed geometry. The functional is PBE.

E_tot: -13.9 eV for the cell shown
Symmetry: P4/mmm

abc: 6.9237 6.9237 4.4795
angles: 90.00 90.00 90.00
Element x y z (fractional)
Cs1 0.0000 0.5000 0.0000
Cs2 0.5000 0.0000 0.0000
P1 0.0000 0.0000 0.5000
Pd1 0.0000 0.0000 0.0000
Cd1 0.5000 0.5000 0.5000

---

(4)
This record from Alexandria describes crystalline Cs2CdPPd at its relaxed geometry. The functional is PBE.

E_tot: -14.0 eV for the cell shown
Symmetry: P4/mmm

abc: 7.0248 7.0248 4.4506
angles: 90.00 90.00 90.00
Element x y z (fractional)
Cs1 0.0000 0.5000 0.0000
Cs2 0.5000 0.0000 0.0000
P1 0.0000 0.0000 0.0000
Pd1 0.0000 0.0000 0.5000
Cd1 0.5000 0.5000 0.5000

---

(5)
This record from Alexandria describes crystalline CsCdP2Pt4 at its relaxed geometry. The functional is PBE.

E_tot: -40.5 eV for the cell shown
Symmetry: P4/mmm

abc: 4.0460 4.0460 11.0331
angles: 90.00 90.00 90.00
Element x y z (fractional)
Cs1 0.0000 0.0000 0.5000
Cd1 0.0000 0.0000 0.0000
P1 0.5000 0.5000 0.2874
P2 0.5000 0.5000 0.7126
Pt1 0.0000 0.5000 0.1852
Pt2 0.5000 0.0000 0.8148
Pt3 0.5000 0.0000 0.1852
Pt4 0.0000 0.5000 0.8148

---

(6)
This record from Alexandria describes crystalline Cs2CdPPt at its relaxed geometry. The functional is PBE.

E_tot: -15.3 eV for the cell shown
Symmetry: P4/mmm

abc: 7.0479 7.0479 4.3906
angles: 90.00 90.00 90.00
Element x y z (fractional)
Cs1 0.0000 0.5000 0.0000
Cs2 0.5000 0.0000 0.0000
P1 0.0000 0.0000 0.0000
Pt1 0.0000 0.0000 0.5000
Cd1 0.5000 0.5000 0.5000

---

(7)
This record from Alexandria describes crystalline Cs2CdPPt at its relaxed geometry. The functional is PBE.

E_tot: -15.3 eV for the cell shown
Symmetry: P4/mmm

abc: 7.0100 7.0100 4.4173
angles: 90.00 90.00 90.00
Element x y z (fractional)
Cs1 0.0000 0.5000 0.0000
Cs2 0.5000 0.0000 0.0000
P1 0.0000 0.0000 0.5000
Pt1 0.0000 0.0000 0.0000
Cd1 0.5000 0.5000 0.5000

---

(8)
This record from Alexandria describes crystalline Cs2RbCdP2 at its relaxed geometry. The functional is PBE.

E_tot: -31.1 eV for the cell shown
Symmetry: Ibam

abc: 8.1271 7.0996 9.5257
angles: 111.88 115.25 90.00
Element x y z (fractional)
Cs1 0.4679 0.1783 0.3565
Cs2 0.5321 0.8217 0.6435
Cs3 0.1113 0.3217 0.6435
Cs4 0.8887 0.6783 0.3565
Rb1 0.0000 0.7500 0.0000
Rb2 0.0000 0.2500 0.0000
Cd1 0.5000 0.7500 0.0000
Cd2 0.5000 0.2500 0.0000
P1 0.7728 0.0884 0.1768
P2 0.4040 0.5884 0.1768
P3 0.5960 0.4116 0.8232
P4 0.2272 0.9116 0.8232

---

Values of formation energy from the elements, in order: 1.9875; 0.1538; -0.1436; -0.1474; -0.4624; -0.2405; -0.2435; -0.1874, all in eV per atom.